Ta2Se2S | PBE-GGA | relaxed

Cell lengths 7.5079, 7.5079, 3.1455 Å; angles 90.00, 90.00, 90.00 degrees
With the nearest neighbours (Å) after each atom.
Element x y z (fractional)
Ta1 0.1615 0.6615 0.5000  6 Se 2.68-2.73
Se1 0.1340 0.3660 0.0000  6 Ta 2.68-2.73, 1 Se 2.85, 2 S 2.93
Se2 0.8660 0.6340 0.0000  6 Ta 2.68-2.73, 1 Se 2.85, 2 S 2.93
Se3 0.6340 0.1340 0.0000  6 Ta 2.68-2.73, 1 Se 2.85, 2 S 2.93
S1 0.5000 0.5000 0.0000  4 Se 2.93, 2 S 3.15, 8 Ta 3.23
Se4 0.3660 0.8660 0.0000  6 Ta 2.68-2.73, 1 Se 2.85, 2 S 2.93
Ta2 0.3385 0.1615 0.5000  6 Se 2.68-2.73
Ta3 0.6615 0.8385 0.5000  6 Se 2.68-2.73
Ta4 0.8385 0.3385 0.5000  6 Se 2.68-2.73
S2 0.0000 0.0000 0.0000  4 Se 2.93, 2 S 3.15, 8 Ta 3.23

Output
Raw total energy (hartree per atom): -0.2500
Space-group type: P4/mbm (127)
Energy relative to the lowest polymorph listed for this composition (eV per atom): 0.6067
Formation energy from raw total energies (meV per atom): 156.6